Here is a relaxed InPF2 crystal from Alexandria via LeMat-Bulk. Energies are from PBE-GGA.

Cell lengths 7.263, 7.263, 5.297 Å; angles 90.00, 90.00, 90.00 degrees
Space group I-42d (No. 122)
Unique sites:
In 0.000 0.000 0.000 x4
P 0.000 0.000 0.500 x4
F 0.140 0.750 0.125 x8

energy relative to the lowest polymorph listed for this composition = 265 meV per atom
raw total energy = -3.86 eV per atom
spin magnetization = 0.00 μB/cell
mass density = 4.4 g cm⁻³
formation energy (no corrections) = -0.887 eV per atom